Entry 1:
# Cs3SrBe PBEsol relaxed
data_Cs3SrBe
_cell_length_a 8.588
_cell_length_b 8.588
_cell_length_c 8.588
_cell_angle_alpha 90.00
_cell_angle_beta 90.00
_cell_angle_gamma 90.00
_space_group_name_H-M_alt 'P m -3 m'
_space_group_IT_number 221
_space_group_name_Hall '-P 4 2 3'
loop_
_atom_site_label
_atom_site_fract_x
_atom_site_fract_y
_atom_site_fract_z
Cs1 0.000 0.000 0.500
Sr1 0.000 0.000 0.000
Be1 0.500 0.500 0.500
# E_tot: -3.27 eV per cell
# crystal system: cubic
# calculated formation energy: 1.08 eV per atom

---

Entry 2:
# LiTlTe2I PBEsol relaxed
data_LiTlTe2I
_cell_length_a 5.669
_cell_length_b 5.669
_cell_length_c 6.279
_cell_angle_alpha 90.00
_cell_angle_beta 90.00
_cell_angle_gamma 90.00
_space_group_name_H-M_alt 'P 4/m m m'
_space_group_IT_number 123
_space_group_name_Hall '-P 4 2'
loop_
_atom_site_label
_atom_site_fract_x
_atom_site_fract_y
_atom_site_fract_z
Li1 0.000 0.000 0.000
Tl1 0.500 0.500 0.500
Te1 0.000 0.500 0.500
I1 0.500 0.500 0.000
# E_tot: -12.83 eV per cell
# raw formation energy: 0.117 eV per atom
# crystal system: tetragonal

---

Entry 3:
# Hf3MnH PBEsol relaxed
data_Hf3MnH
_cell_length_a 4.726
_cell_length_b 4.726
_cell_length_c 4.726
_cell_angle_alpha 90.00
_cell_angle_beta 90.00
_cell_angle_gamma 90.00
_space_group_name_H-M_alt 'P m -3 m'
_space_group_IT_number 221
_space_group_name_Hall '-P 4 2 3'
loop_
_atom_site_label
_atom_site_fract_x
_atom_site_fract_y
_atom_site_fract_z
Hf1 0.000 0.000 0.500
Mn1 0.000 0.000 0.000
H1 0.500 0.500 0.500
# E_tot: -39.41 eV per cell
# crystal system: cubic

---

Copy entry 3 word for word.
# Hf3MnH PBEsol relaxed
data_Hf3MnH
_cell_length_a 4.726
_cell_length_b 4.726
_cell_length_c 4.726
_cell_angle_alpha 90.00
_cell_angle_beta 90.00
_cell_angle_gamma 90.00
_space_group_name_H-M_alt 'P m -3 m'
_space_group_IT_number 221
_space_group_name_Hall '-P 4 2 3'
loop_
_atom_site_label
_atom_site_fract_x
_atom_site_fract_y
_atom_site_fract_z
Hf1 0.000 0.000 0.500
Mn1 0.000 0.000 0.000
H1 0.500 0.500 0.500
# E_tot: -39.41 eV per cell
# crystal system: cubic

---

Which of these has the highest E_tot? Cs3SrBe

---

Among the records above, which one has the lowest E_tot? Hf3MnH